This record from the Alexandria database describes a geometry-optimized GeBI structure. The functional is PBE-GGA.

Cell lengths 5.5048, 5.5048, 8.8896 Å; angles 110.66, 110.66, 39.69 degrees
Last column: nearest neighbours and their distance in Å.
Atoms (fractional coordinates):
Ge (0.2486, 0.2486, 0.1236)  3 B 2.11-2.19
Ge (0.7514, 0.7514, 0.8764)  3 B 2.11-2.19
B (0.1516, 0.1516, 0.8584)  3 Ge 2.11-2.19, 1 I 2.26
B (0.8484, 0.8484, 0.1416)  3 Ge 2.11-2.19, 1 I 2.26
I (0.0758, 0.0758, 0.3066)  1 B 2.26
I (0.9242, 0.9242, 0.6934)  1 B 2.26

Output
As for the formation energy without anion corrections: 0.400 eV/atom.

This record from the Alexandria database describes a geometry-optimized OsRhAu structure. The functional is PBE-GGA.

Cell lengths 2.7799, 2.7799, 6.9121 Å; angles 90.00, 90.00, 120.00 degrees
Last column: nearest neighbours and their distance in Å.
Atoms (fractional coordinates):
Os (0.0000, 0.0000, 0.0000)  3 Rh 2.63, 6 Os 2.78, 3 Au 2.90
Rh (0.6667, 0.3333, 0.3015)  3 Os 2.63, 6 Rh 2.78, 3 Au 2.90
Au (0.3333, 0.6667, 0.6510)  6 Au 2.78, 3 Os 2.90, 3 Rh 2.90

Output
The calculation puts the formation energy at 0.25 eV/atom. The energy above the most stable polymorph in this dataset comes out at 0.1629 eV per atom.

This record from the Alexandria database describes a geometry-optimized DyTl2Pb2 structure. The functional is PBE-GGA.

Cell lengths 13.7148, 13.7148, 4.6592 Å; angles 90.00, 90.00, 160.53 degrees
Last column: nearest neighbours and their distance in Å.
Atoms (fractional coordinates):
Dy (0.1521, 0.8479, 0.7500)  8 Pb 3.29-3.54, 4 Tl 3.58-3.60
Dy (0.8479, 0.1521, 0.2500)  8 Pb 3.29-3.54, 4 Tl 3.58-3.60
Tl (0.0506, 0.9494, 0.2500)  8 Tl 3.29-3.60, 2 Pb 3.48, 2 Dy 3.60
Tl (0.4486, 0.5514, 0.2500)  8 Tl 3.29-3.63, 2 Pb 3.47, 2 Dy 3.58
Tl (0.5514, 0.4486, 0.7500)  8 Tl 3.29-3.63, 2 Pb 3.47, 2 Dy 3.58
Tl (0.9494, 0.0506, 0.7500)  8 Tl 3.29-3.60, 2 Pb 3.48, 2 Dy 3.60
Pb (0.2505, 0.7495, 0.2500)  8 Pb 3.29-3.65, 4 Dy 3.51-3.54
Pb (0.3536, 0.6464, 0.7500)  4 Dy 3.29, 4 Tl 3.47-3.48, 4 Pb 3.63-3.65
Pb (0.6464, 0.3536, 0.2500)  4 Dy 3.29, 4 Tl 3.47-3.48, 4 Pb 3.63-3.65
Pb (0.7495, 0.2505, 0.7500)  8 Pb 3.29-3.65, 4 Dy 3.51-3.54

Output
The calculation puts the formation energy at -0.16 eV/atom.

> What is the formula in the first record?

GeBI